# 1
Below is a geometry-optimized ZrSc3Cu2 structure, with properties calculated at the PBE level.

```
6
Lattice="-2.9511 1.2264 -0.5265 -0.4876 -2.1801 -2.3451 -4.2531 -7.0434 7.4323" Properties=species:S:1:pos:R:3 pbc="T T T"
Sc -2.9900 -4.9516 5.2250
Cu -2.3456 -1.5140 -0.3414
Cu -5.3462 -6.4831 4.9021
Sc -1.2631 -2.0918 2.2073
Sc 0.0000 0.0000 0.0000
Zr -3.8459 -3.9986 2.2804
```

Output
Calculated density ... 5.04 g/cm³
Symmetry ... No. 123
Raw total energy ... -6.1428 eV/atom
Calculated formation energy ... -0.19 eV/atom
Total moment ... 0.00 μB per cell



# 2
Below is a geometry-optimized Ag2Se2O5 structure, with properties calculated at the PBE level.

```
9
Lattice="4.0129 0.0000 0.0000 -2.0064 6.6753 0.4483 0.0000 -0.5885 5.3128" Properties=species:S:1:pos:R:3 pbc="T T T"
O 2.0064 2.0647 0.2150
O 2.0064 4.5964 2.1889
Se 2.0064 4.8497 0.4959
Ag 2.0064 1.6707 2.4673
Se 0.0000 1.2372 5.2653
O 0.0000 4.0222 5.5462
Ag 0.0000 4.4161 3.2938
O 0.0000 1.4904 3.5722
O 0.0000 0.0000 0.0000
```

Output
Formation energy without anion corrections ... -3.16 eV per formula unit
Calculated density ... 5.25 g/cm³
Symmetry ... No. 12
Raw total energy ... -4.5131 eV/atom
Total moment ... 0.00 μB per cell



# 3
Below is a geometry-optimized YBe2AlRe structure, with properties calculated at the PBE level.

```
5
Lattice="4.6835 0.0000 0.0000 0.0000 4.9550 0.0000 0.0000 0.0000 4.6835" Properties=species:S:1:pos:R:3 pbc="T T T"
Be 2.3417 0.0000 0.0000
Be 0.0000 0.0000 2.3417
Re 0.0000 2.4775 0.0000
Al 2.3417 2.4775 2.3417
Y 0.0000 0.0000 0.0000
```

Output
Calculated density ... 4.89 g/cm³
Symmetry ... No. 123
Raw total energy ... -3.7989 eV/atom
Calculated formation energy ... 2.22 eV/atom
Total moment ... 0.00 μB per cell



# 4
Below is a geometry-optimized V14TcMo structure, with properties calculated at the PBE level.

```
16
Lattice="-4.5736 -2.2103 -3.2361 0.8185 -5.4035 2.5315 -3.8284 1.4811 4.3991" Properties=species:S:1:pos:R:3 pbc="T T T"
Tc -5.1999 -5.9215 1.5830
V -1.4179 -0.5723 1.0087
V -5.6092 -3.2198 0.3173
V -3.6950 -3.9603 -1.8823
V -3.7174 -1.6835 -0.6187
Mo -3.3224 -2.1146 1.9353
V -1.4082 -2.8551 -0.2642
V -3.3057 -4.4002 0.6544
V -3.3390 0.1709 3.2162
V -1.0060 -3.2891 2.2815
V -2.9274 -2.5458 4.4894
V -2.9132 -4.8164 3.2011
V -3.2857 -6.6621 -0.6165
V -0.9989 -5.5569 1.0016
V -5.6388 -0.9401 1.5892
V -5.2270 -3.6569 2.8620
```

Output
Calculated density ... 6.90 g/cm³
Symmetry ... No. 123
Raw total energy ... -9.3855 eV/atom
Calculated formation energy ... -0.08 eV/atom
Total moment ... 0.00 μB per cell



# 5
Below is a geometry-optimized La7NiI12 structure, with properties calculated at the PBE level.

```
20
Lattice="-3.7740 -9.9827 -2.7649 8.3018 2.3844 -5.2876 2.4004 0.4285 9.8295" Properties=species:S:1:pos:R:3 pbc="T T T"
La 9.2997 2.1771 2.1341
I 3.3534 -2.0060 2.3842
I 6.8776 0.3776 3.4814
La -1.8870 -4.9913 -1.3824
I 4.2540 -4.1976 -4.8834
I 7.7094 1.4557 -0.8446
I 2.9100 -6.2841 3.7828
La -2.3715 -9.3470 -0.3571
I 3.5748 -5.1638 -0.6072
Ni 0.0000 0.0000 0.0000
I 2.6743 -2.9722 6.6604
I 0.0507 -7.5474 -1.7043
I 7.2598 -2.7366 0.3916
I 4.0182 -0.8857 -2.0057
La 6.4008 0.8574 -3.7967
La 1.5991 -2.3455 -0.3317
I -0.7812 -8.6255 2.6216
La 0.5274 -8.0272 5.5737
I -0.3316 -4.4332 1.3854
La 5.3291 -4.8243 2.1087
```

Output
Formation energy without anion corrections ... -26.10 eV per formula unit
Calculated density ... 4.99 g/cm³
Symmetry ... No. 148
Raw total energy ... -4.2489 eV/atom
Total moment ... 0.50 μB per cell



# 6
Below is a geometry-optimized TbScBi2 structure, with properties calculated at the PBE level.

```
4
Lattice="-1.4029 3.2297 -2.5591 -3.1128 2.6972 1.4084 3.6940 6.4896 2.4630" Properties=species:S:1:pos:R:3 pbc="T T T"
Bi 2.3495 5.3223 1.7269
Sc -0.3840 6.2316 0.6709
Bi -0.1602 3.1434 0.3528
Tb 0.6561 10.4171 1.6809
```

Output
Calculated density ... 8.45 g/cm³
Symmetry ... No. 160
Raw total energy ... -5.3458 eV/atom
Excess energy over the best structure of this formula in the dataset ... 100 meV/atom
Calculated formation energy ... -0.66 eV/atom
Total moment ... 0.00 μB per cell



# 7
Below is a geometry-optimized Si2Sn2N structure, with properties calculated at the PBE level.

```
5
Lattice="5.6945 0.0000 0.0000 0.0000 5.6945 0.0000 2.8472 2.8472 3.2434" Properties=species:S:1:pos:R:3 pbc="T T T"
Si 2.8472 2.8472 1.5547
Si 5.6945 5.6945 1.6887
Sn 2.8472 5.6945 1.6217
Sn 5.6945 2.8472 1.6217
N 0.0000 0.0000 0.0000
```

Output
Formation energy without anion corrections ... 1.64 eV per formula unit
Calculated density ... 4.86 g/cm³
Symmetry ... No. 139
Raw total energy ... -5.1074 eV/atom
Excess energy over the best structure of this formula in the dataset ... 0 meV/atom
Total moment ... 0.00 μB per cell



# 8
Below is a geometry-optimized In2GaBi structure, with properties calculated at the PBE level.

```
4
Lattice="-3.5391 1.4166 0.4990 0.3529 -0.4572 3.8009 2.7545 6.6884 0.5488" Properties=species:S:1:pos:R:3 pbc="T T T"
Bi -0.2158 3.8239 2.4244
Ga -1.5931 0.4797 2.1500
In 0.6259 1.5198 0.1247
In 2.1286 5.1686 0.4241
```

Output
Calculated density ... 7.87 g/cm³
Symmetry ... No. 123
Raw total energy ... -3.0320 eV/atom
Excess energy over the best structure of this formula in the dataset ... 19 meV/atom
Calculated formation energy ... 0.06 eV/atom
Total moment ... 0.00 μB per cell



# 9
Below is a geometry-optimized TcP2Au structure, with properties calculated at the PBE level.

```
8
Lattice="5.5508 0.0000 0.0000 0.0000 5.5508 0.0000 2.7754 2.7754 5.2502" Properties=species:S:1:pos:R:3 pbc="T T T"
P 4.0063 1.3877 1.3125
Tc 2.7754 5.5508 2.6251
Tc 2.7754 2.7754 0.0000
P 4.1631 4.3199 3.9376
P 6.9385 6.7817 3.9376
Au 0.0000 0.0000 0.0000
P 1.5445 4.1631 1.3125
Au 5.5508 2.7754 2.6251
```

Output
Calculated density ... 7.33 g/cm³
Symmetry ... No. 122
Raw total energy ... -6.0782 eV/atom
Excess energy over the best structure of this formula in the dataset ... 190 meV/atom
Calculated formation energy ... 0.04 eV/atom
Total moment ... 0.00 μB per cell



# 10
Below is a geometry-optimized Nd4CoIrBr2 structure, with properties calculated at the PBE level.

```
8
Lattice="4.0782 0.0000 0.0000 0.0000 7.0748 0.1240 0.0000 -2.4756 7.7669" Properties=species:S:1:pos:R:3 pbc="T T T"
Nd 2.0391 3.3986 6.3403
Nd 2.0391 1.2006 1.5506
Co 2.0391 3.5374 0.0620
Ir 0.0000 0.0000 0.0000
Br 0.0000 2.2996 3.9454
Br 2.0391 -1.2378 3.8834
Nd 0.0000 4.6358 1.5812
Nd 0.0000 -0.0366 6.3097
```

Output
Formation energy without anion corrections ... -7.23 eV per formula unit
Calculated density ... 7.28 g/cm³
Symmetry ... No. 10
Raw total energy ... -5.7020 eV/atom
Total moment ... 0.00 μB per cell



# 11
Below is a geometry-optimized Pr2SmHoMg structure, with properties calculated at the PBE level.

```
10
Lattice="-7.2952 1.5728 -0.3727 -0.2882 0.4215 7.4213 1.2665 5.8080 -0.2797" Properties=species:S:1:pos:R:3 pbc="T T T"
Ho -1.7303 4.9338 -0.3467
Pr -2.1696 2.2464 5.1432
Pr -4.1474 5.5559 1.6258
Pr -2.0440 2.0618 1.9054
Sm -0.2925 4.8035 3.4448
Ho -4.2985 2.4470 -0.3057
Mg 0.0000 0.0000 0.0000
Mg 0.6332 2.9040 -0.1398
Pr -4.2730 5.7404 4.8636
Sm -6.0245 2.9988 3.3242
```

Output
Calculated density ... 6.24 g/cm³
Symmetry ... No. 51
Raw total energy ... -3.9370 eV/atom
Calculated formation energy ... 0.15 eV/atom
Total moment ... 0.00 μB per cell